one) Material: CdInO2
Method: DFT, PBE
State: relaxed

Calculated values
SG: R-3m
total magnetization: 0.573 Bohr magnetons per cell
Fermi-level density of states: 2.19 states/eV per cell

Cell lengths 6.7279, 6.7279, 6.7279 Å; angles 29.61, 29.61, 29.61 degrees
With the nearest neighbours (Å) after each atom.
Atoms (fractional coordinates):
In: 0.0000 0.0000 0.0000  2 O 2.02
O: 0.1050 0.1050 0.1050  1 In 2.02
O: 0.8950 0.8950 0.8950  1 In 2.02
Cd: 0.5000 0.5000 0.5000  6 O 2.31

two) Material: CdInO2
Method: DFT, PBE
State: relaxed

Calculated values
SG: I-42d
total magnetization: 0.000 Bohr magnetons per cell
Fermi-level density of states: 0.75 states/eV per cell

Cell lengths 5.1879, 5.1879, 6.3152 Å; angles 65.75, 65.75, 90.00 degrees
With the nearest neighbours (Å) after each atom.
Atoms (fractional coordinates):
O: 0.6454 0.1250 0.2500  2 In 2.18, 2 Cd 2.30
O: 0.1046 0.6250 0.2500  2 In 2.18, 2 Cd 2.30
O: 0.3750 0.3546 0.7500  2 In 2.18, 2 Cd 2.30
O: 0.8750 0.8954 0.7500  2 In 2.18, 2 Cd 2.30
In: 0.7500 0.2500 0.5000  4 O 2.18
In: 0.0000 0.0000 0.0000  4 O 2.18
Cd: 0.5000 0.5000 0.0000  4 O 2.30
Cd: 0.2500 0.7500 0.5000  4 O 2.30

three) Material: CdInO2
Method: DFT, PBE
State: relaxed

Calculated values
SG: Fm-3m
total magnetization: 0.000 Bohr magnetons per cell
Fermi-level density of states: 1.26 states/eV per cell

Cell lengths 4.2409, 4.2409, 4.2409 Å; angles 60.00, 60.00, 60.00 degrees
With the nearest neighbours (Å) after each atom.
Atoms (fractional coordinates):
In: 0.5000 0.5000 0.5000  8 O 2.60
Cd: 0.0000 0.0000 0.0000  8 O 2.60
O: 0.2500 0.2500 0.2500  4 Cd 2.60, 4 In 2.60
O: 0.7500 0.7500 0.7500  4 In 2.60, 4 Cd 2.60

four) Material: CdInO2
Method: DFT, PBE
State: relaxed

Calculated values
SG: R3m
total magnetization: 0.000 Bohr magnetons per cell
Fermi-level density of states: 0.76 states/eV per cell

Cell lengths 3.6827, 3.6824, 6.2735 Å; angles 72.89, 72.89, 59.98 degrees
With the nearest neighbours (Å) after each atom.
Atoms (fractional coordinates):
Cd: 0.2393 0.6844 0.1798  4 O 2.27-2.33
In: 0.7391 0.1842 0.6808  4 O 2.14-2.22
O: 0.1079 0.5528 0.5747  3 In 2.22, 1 Cd 2.33
O: 0.6182 0.0632 0.0432  1 In 2.14, 3 Cd 2.27

Relative energies, in kJ/mol of atoms, with the most stable structure set to zero: one) 31.3; two) 0.0; three) 56.8; four) 1.8.

one) Material: CdIn2O4
Method: DFT, PBE
State: relaxed

Calculated values
SG: Fd-3m
total magnetization: 0.000 Bohr magnetons per cell

Cell lengths 6.5978, 6.5978, 6.5978 Å; angles 60.00, 60.00, 60.00 degrees
With the nearest neighbours (Å) after each atom.
Atoms (fractional coordinates):
In: 0.1250 0.6250 0.1250  6 O 2.22
In: 0.1250 0.1250 0.6250  6 O 2.22
In: 0.1250 0.1250 0.1250  6 O 2.22
In: 0.6250 0.1250 0.1250  6 O 2.22
Cd: 0.5000 0.5000 0.5000  4 O 2.23
Cd: 0.7500 0.7500 0.7500  4 O 2.23
O: 0.3618 0.3618 0.3618  3 In 2.22, 1 Cd 2.23
O: 0.8882 0.8882 0.8882  3 In 2.22, 1 Cd 2.23
O: 0.8882 0.8882 0.3354  3 In 2.22, 1 Cd 2.23
O: 0.9146 0.3618 0.3618  3 In 2.22, 1 Cd 2.23
O: 0.3618 0.9146 0.3618  3 In 2.22, 1 Cd 2.23
O: 0.3618 0.3618 0.9146  3 In 2.22, 1 Cd 2.23
O: 0.3354 0.8882 0.8882  3 In 2.22, 1 Cd 2.23
O: 0.8882 0.3354 0.8882  3 In 2.22, 1 Cd 2.23

two) Material: CdIn2O4
Method: DFT, PBE
State: relaxed

Calculated values
SG: Imma
total magnetization: 0.000 Bohr magnetons per cell
Fermi-level density of states: 3.37 states/eV per cell

Cell lengths 6.5911, 6.5911, 6.5911 Å; angles 121.24, 119.30, 89.54 degrees
With the nearest neighbours (Å) after each atom.
Atoms (fractional coordinates):
O: 0.2477 0.2656 0.5178  3 In 2.13-2.24, 1 Cd 2.36
O: 0.2714 0.2666 0.0048  2 In 2.10-2.18, 2 Cd 2.30
O: 0.7617 0.2666 0.4952  2 In 2.10-2.18, 2 Cd 2.30
O: 0.2477 0.7299 0.9822  3 In 2.13-2.24, 1 Cd 2.36
O: 0.2383 0.7334 0.5048  2 In 2.10-2.18, 2 Cd 2.30
O: 0.7286 0.7334 0.9952  2 In 2.10-2.18, 2 Cd 2.30
O: 0.7523 0.7344 0.4822  3 In 2.13-2.24, 1 Cd 2.36
O: 0.7523 0.2701 0.0178  3 In 2.13-2.24, 1 Cd 2.36
In: 0.8848 0.1348 0.7500  4 O 2.10-2.13
In: 0.1152 0.8652 0.2500  4 O 2.10-2.13
In: 0.0000 0.5000 0.5000  6 O 2.18-2.24
In: 0.5000 0.5000 0.0000  6 O 2.18-2.24
Cd: 0.5000 0.5000 0.5000  6 O 2.30-2.36
Cd: 0.5000 0.0000 0.0000  6 O 2.30-2.36

Relative energies, in kJ/mol of atoms, with the most stable structure set to zero: one) 0.0; two) 7.5.

one) Material: CdIn3O
Method: DFT, PBE
State: relaxed

Calculated values
SG: Pm-3m
total magnetization: 0.000 Bohr magnetons per cell
Fermi-level density of states: 2.18 states/eV per cell

Cell lengths 5.4255, 5.4255, 5.4255 Å; angles 90.00, 90.00, 90.00 degrees
With the nearest neighbours (Å) after each atom.
Atoms (fractional coordinates):
O: 0.5000 0.5000 0.5000  12 In 3.84
In: 0.0000 0.5000 0.0000  2 Cd 2.71
In: 0.5000 0.0000 0.0000  2 Cd 2.71
In: 0.0000 0.0000 0.5000  2 Cd 2.71
Cd: 0.0000 0.0000 0.0000  6 In 2.71

two) Material: CdIn3O
Method: DFT, PBE
State: relaxed

Calculated values
SG: Pm-3m
total magnetization: 0.000 Bohr magnetons per cell
Fermi-level density of states: 2.12 states/eV per cell

Cell lengths 4.8985, 4.8985, 4.8985 Å; angles 90.00, 90.00, 90.00 degrees
With the nearest neighbours (Å) after each atom.
Atoms (fractional coordinates):
In: 0.0000 0.5000 0.0000  2 O 2.45
In: 0.5000 0.0000 0.0000  2 O 2.45
In: 0.0000 0.0000 0.5000  2 O 2.45
O: 0.0000 0.0000 0.0000  6 In 2.45
Cd: 0.5000 0.5000 0.5000  12 In 3.46

Relative energies, in kJ/mol of atoms, with the most stable structure set to zero: one) 79.2; two) 0.0.

one) Material: CdInOs
Method: DFT, PBE
State: relaxed

Calculated values
SG: Imm2
total magnetization: 0.001 Bohr magnetons per cell
Fermi-level density of states: 2.31 states/eV per cell

Cell lengths 5.2346, 5.2346, 5.2346 Å; angles 148.05, 132.41, 58.47 degrees
With the nearest neighbours (Å) after each atom.
Atoms (fractional coordinates):
In: 0.3225 0.3225 0.0000  2 In 2.88, 5 Cd 2.89-3.06, 5 Os 2.91-3.18
Cd: 0.0064 0.0064 0.0000  2 Cd 2.88, 5 In 2.89-3.06, 5 Os 2.97-3.06
Os: 0.6711 0.6711 0.0000  2 Os 2.88, 5 In 2.91-3.18, 5 Cd 2.97-3.06

two) Material: CdInOs
Method: DFT, PBE
State: relaxed

Calculated values
SG: F-43m
total magnetization: 0.002 Bohr magnetons per cell
Fermi-level density of states: 4.73 states/eV per cell

Cell lengths 4.5305, 4.5305, 4.5305 Å; angles 60.00, 60.00, 60.00 degrees
With the nearest neighbours (Å) after each atom.
Atoms (fractional coordinates):
Cd: 0.0000 0.0000 0.0000  4 Os 2.77
Os: 0.7500 0.7500 0.7500  4 Cd 2.77, 4 In 2.77
In: 0.5000 0.5000 0.5000  4 Os 2.77

Relative energies, in kJ/mol of atoms, with the most stable structure set to zero: one) 0.0; two) 9.7.

one) Material: CdInOs
Method: DFT, PBE
State: relaxed

Calculated values
SG: I4mm
total magnetization: 0.000 Bohr magnetons per cell
Fermi-level density of states: 2.79 states/eV per cell

Cell lengths 6.5731, 6.5731, 6.5731 Å; angles 153.04, 153.04, 38.50 degrees
With the nearest neighbours (Å) after each atom.
Atoms (fractional coordinates):
Os: 0.6698 0.6698 0.0000  4 In 2.80, 4 Cd 2.87, 4 Os 3.06
In: 0.3121 0.3121 0.0000  4 Os 2.80, 4 In 3.06
Cd: 0.0181 0.0181 0.0000  4 Os 2.87, 4 Cd 3.06

two) Material: CdInOs
Method: DFT, PBE
State: relaxed

Calculated values
SG: Fmm2
total magnetization: 0.469 Bohr magnetons per cell
Fermi-level density of states: 2.60 states/eV per cell

Cell lengths 8.7340, 8.4959, 2.8776 Å; angles 85.10, 75.74, 19.16 degrees
With the nearest neighbours (Å) after each atom.
Atoms (fractional coordinates):
Os: 0.3327 0.3327 0.6673  6 Os 2.88-2.89, 2 In 2.88, 2 Cd 2.91
In: 0.6839 0.6839 0.3161  6 In 2.88-2.89, 2 Os 2.88
Cd: 0.9833 0.9833 0.0167  6 Cd 2.88-2.89, 2 Os 2.91

Relative energies, in kJ/mol of atoms, with the most stable structure set to zero: one) 0.0; two) 6.3.

one) Material: CdInP
Method: DFT, PBE
State: relaxed

Calculated values
SG: Cm
total magnetization: 0.000 Bohr magnetons per cell
Fermi-level density of states: 2.84 states/eV per cell

Cell lengths 5.5719, 4.0197, 13.4492 Å; angles 90.00, 90.11, 90.00 degrees
With the nearest neighbours (Å) after each atom.
Atoms (fractional coordinates):
In: 0.3285 0.0000 0.2178  3 P 2.59-2.66
In: 0.3589 0.5000 0.9454  2 P 2.68, 1 Cd 2.93
In: 0.3285 0.5000 0.7178  3 P 2.59-2.66
In: 0.3589 0.0000 0.4454  2 P 2.68, 1 Cd 2.93
Cd: 0.8613 0.5000 0.8303  2 P 2.74, 1 Cd 3.00, 1 In 3.01
Cd: 0.8613 0.0000 0.3303  2 P 2.74, 1 Cd 3.00, 1 In 3.01
Cd: 0.8174 0.5000 0.0525  3 P 2.55-2.71
Cd: 0.8174 0.0000 0.5525  3 P 2.55-2.71
P: 0.1417 0.0000 0.0416  3 In 2.59-2.68, 2 Cd 2.71
P: 0.1417 0.5000 0.5416  3 In 2.59-2.68, 2 Cd 2.71
P: 0.6404 0.0000 0.7269  3 Cd 2.55-2.74, 2 In 2.66
P: 0.6404 0.5000 0.2269  3 Cd 2.55-2.74, 2 In 2.66

two) Material: CdInP
Method: DFT, PBE
State: relaxed

Calculated values
SG: R3
total magnetization: 0.000 Bohr magnetons per cell
Fermi-level density of states: 2.02 states/eV per cell

Cell lengths 6.8721, 6.8721, 6.5025 Å; angles 58.10, 58.10, 60.00 degrees
With the nearest neighbours (Å) after each atom.
Atoms (fractional coordinates):
P: 0.3439 0.3439 0.9682  3 In 2.73, 3 Cd 2.77
P: 0.6642 0.6642 0.0075  3 Cd 2.71, 3 In 2.71
P: 0.0482 0.0482 0.8554  3 In 2.67, 3 Cd 2.81
In: 0.7511 0.4802 0.6759  3 P 2.67-2.73
In: 0.0928 0.7511 0.6759  3 P 2.67-2.73
In: 0.4802 0.0928 0.6759  3 P 2.67-2.73
Cd: 0.2163 0.6250 0.2316  3 P 2.71-2.81, 1 In 3.02
Cd: 0.6250 0.9271 0.2316  3 P 2.71-2.81, 1 In 3.02
Cd: 0.9271 0.2163 0.2316  3 P 2.71-2.81, 1 In 3.02

Relative energies, in kJ/mol of atoms, with the most stable structure set to zero: one) 0.0; two) 0.5.